(1)
PmTh2ScSb4 after structural relaxation, computed with GGA-PBE.

abc: 7.6199 4.4451 7.6930
angles: 90.00 109.76 90.00
Last column: nearest neighbours and their distance in Å.
Fractional coordinates of all 8 atoms:
Pm (0.0000, 0.0000, 0.0000)  6 Sb 3.12
Th (0.5000, 0.0000, 0.5000)  6 Sb 3.14
Th (0.5000, 0.5000, 0.0000)  6 Sb 3.22
Sc (0.0000, 0.5000, 0.5000)  6 Sb 3.04
Sb (0.2341, 0.0000, 0.7359)  2 Sc 3.04, 1 Pm 3.12, 3 Th 3.14-3.22
Sb (0.2408, 0.5000, 0.2555)  1 Sc 3.04, 2 Pm 3.12, 3 Th 3.14-3.22
Sb (0.7592, 0.5000, 0.7445)  1 Sc 3.04, 2 Pm 3.12, 3 Th 3.14-3.22
Sb (0.7659, 0.0000, 0.2641)  2 Sc 3.04, 1 Pm 3.12, 3 Th 3.14-3.22

Results
Crystal system: monoclinic
N(E_F) (states/eV per atom): 0.5521
Calculated total energy (eV/cell): -50.16
Uncorrected formation energy (eV per formula unit): -7.8

---

(2)
Pm6SbSe4 after structural relaxation, computed with GGA-PBE.

abc: 7.1461 7.1461 21.3595
angles: 90.00 90.00 145.78
Last column: nearest neighbours and their distance in Å.
Fractional coordinates of all 22 atoms:
Pm (0.0000, 0.0000, 0.0000)  6 Se 2.89-2.97
Pm (0.0000, 0.0000, 0.5000)  6 Se 2.89-2.97
Pm (0.1572, 0.8428, 0.7500)  2 Se 2.86, 2 Sb 3.13
Pm (0.2723, 0.7277, 0.0942)  5 Se 2.94-3.04
Pm (0.2723, 0.7277, 0.4058)  5 Se 2.94-3.04
Pm (0.4464, 0.5536, 0.6637)  3 Se 2.95-2.96, 2 Sb 3.24
Pm (0.4464, 0.5536, 0.8363)  3 Se 2.95-2.96, 2 Sb 3.24
Pm (0.5536, 0.4464, 0.1637)  3 Se 2.95-2.96, 2 Sb 3.24
Pm (0.5536, 0.4464, 0.3363)  3 Se 2.95-2.96, 2 Sb 3.24
Pm (0.7277, 0.2723, 0.5942)  5 Se 2.94-3.04
Pm (0.7277, 0.2723, 0.9058)  5 Se 2.94-3.04
Pm (0.8428, 0.1572, 0.2500)  2 Se 2.86, 2 Sb 3.13
Sb (0.1729, 0.8271, 0.2500)  6 Pm 3.13-3.24
Sb (0.8271, 0.1729, 0.7500)  6 Pm 3.13-3.24
Se (0.0846, 0.9154, 0.6242)  6 Pm 2.86-2.95
Se (0.0846, 0.9154, 0.8758)  6 Pm 2.86-2.95
Se (0.3574, 0.6426, 0.5371)  6 Pm 2.96-3.04
Se (0.3574, 0.6426, 0.9629)  6 Pm 2.96-3.04
Se (0.6426, 0.3574, 0.0371)  6 Pm 2.96-3.04
Se (0.6426, 0.3574, 0.4629)  6 Pm 2.96-3.04
Se (0.9154, 0.0846, 0.1242)  6 Pm 2.86-2.95
Se (0.9154, 0.0846, 0.3758)  6 Pm 2.86-2.95

Results
Crystal system: orthorhombic
N(E_F) (states/eV per atom): 0.9222
Calculated total energy (eV/cell): -127.24
Uncorrected formation energy (eV per formula unit): -17.1

---

(3)
Pm3SbSe2 after structural relaxation, computed with GGA-PBE.

abc: 7.2847 7.2847 7.0098
angles: 90.00 90.00 71.71
Last column: nearest neighbours and their distance in Å.
Fractional coordinates of all 12 atoms:
Pm (0.0856, 0.9144, 0.7500)  1 Sb 2.88, 4 Se 2.93
Pm (0.1235, 0.5412, 0.2500)  4 Se 3.02-3.05, 1 Sb 3.14
Pm (0.4588, 0.8765, 0.2500)  4 Se 3.02-3.05, 1 Sb 3.14
Pm (0.5412, 0.1235, 0.7500)  4 Se 3.02-3.05, 1 Sb 3.14
Pm (0.8765, 0.4588, 0.7500)  4 Se 3.02-3.05, 1 Sb 3.14
Pm (0.9144, 0.0856, 0.2500)  1 Sb 2.88, 4 Se 2.93
Sb (0.4232, 0.5768, 0.7500)  3 Pm 2.88-3.14
Sb (0.5768, 0.4232, 0.2500)  3 Pm 2.88-3.14
Se (0.1891, 0.1891, 0.0000)  6 Pm 2.93-3.05
Se (0.1891, 0.1891, 0.5000)  6 Pm 2.93-3.05
Se (0.8109, 0.8109, 0.0000)  6 Pm 2.93-3.05
Se (0.8109, 0.8109, 0.5000)  6 Pm 2.93-3.05

Results
Crystal system: orthorhombic
N(E_F) (states/eV per atom): 0.3401
Calculated total energy (eV/cell): -66.32
Uncorrected formation energy (eV per formula unit): -7.8
Offset from the most stable computed form (meV/atom): 319

---

(4)
PmSbSe3 after structural relaxation, computed with GGA-PBE.

abc: 5.6607 7.0616 7.1410
angles: 90.00 106.55 90.00
Last column: nearest neighbours and their distance in Å.
Fractional coordinates of all 10 atoms:
Pm (0.1807, 0.2500, 0.3082)  7 Se 2.96-3.28
Pm (0.8193, 0.7500, 0.6918)  7 Se 2.96-3.28
Sb (0.4122, 0.2500, 0.8973)  3 Se 2.60
Sb (0.5878, 0.7500, 0.1027)  3 Se 2.60
Se (0.1284, 0.7500, 0.1032)  1 Sb 2.60
Se (0.2968, 0.5287, 0.6500)  1 Sb 2.60
Se (0.2968, 0.9713, 0.6500)  1 Sb 2.60
Se (0.7032, 0.0287, 0.3500)  1 Sb 2.60
Se (0.7032, 0.4713, 0.3500)  1 Sb 2.60
Se (0.8716, 0.2500, 0.8968)  1 Sb 2.60

Results
Crystal system: monoclinic
Calculated total energy (eV/cell): -48.06
Uncorrected formation energy (eV per formula unit): -4.7
Offset from the most stable computed form (meV/atom): 88

---

(5)
Pm3SbSe after structural relaxation, computed with GGA-PBE.

abc: 8.6812 4.2576 15.8949
angles: 90.00 90.00 90.00
Last column: nearest neighbours and their distance in Å.
Fractional coordinates of all 20 atoms:
Pm (0.0149, 0.2500, 0.1094)  3 Se 2.94-2.95, 1 Sb 3.30
Pm (0.1548, 0.2500, 0.5448)  2 Se 2.92, 2 Sb 3.23
Pm (0.1656, 0.7500, 0.2861)  1 Se 2.89, 2 Sb 3.18
Pm (0.3344, 0.2500, 0.7861)  1 Se 2.89, 2 Sb 3.18
Pm (0.3452, 0.7500, 0.0448)  2 Se 2.92, 2 Sb 3.23
Pm (0.4851, 0.7500, 0.6094)  3 Se 2.94-2.95, 1 Sb 3.30
Pm (0.5149, 0.2500, 0.3906)  3 Se 2.94-2.95, 1 Sb 3.30
Pm (0.6548, 0.2500, 0.9552)  2 Se 2.92, 2 Sb 3.23
Pm (0.6656, 0.7500, 0.2139)  1 Se 2.89, 2 Sb 3.18
Pm (0.8344, 0.2500, 0.7139)  1 Se 2.89, 2 Sb 3.18
Pm (0.8452, 0.7500, 0.4552)  2 Se 2.92, 2 Sb 3.23
Pm (0.9851, 0.7500, 0.8906)  3 Se 2.94-2.95, 1 Sb 3.30
Sb (0.1171, 0.7500, 0.6961)  8 Pm 3.18-3.48
Sb (0.3829, 0.2500, 0.1961)  8 Pm 3.18-3.48
Sb (0.6171, 0.7500, 0.8039)  8 Pm 3.18-3.48
Sb (0.8829, 0.2500, 0.3039)  8 Pm 3.18-3.48
Se (0.1920, 0.2500, 0.9507)  6 Pm 2.89-2.95
Se (0.3080, 0.7500, 0.4507)  6 Pm 2.89-2.95
Se (0.6920, 0.2500, 0.5493)  6 Pm 2.89-2.95
Se (0.8080, 0.7500, 0.0493)  6 Pm 2.89-2.95

Results
Crystal system: orthorhombic
N(E_F) (states/eV per atom): 0.4607
Calculated total energy (eV/cell): -111.65
Uncorrected formation energy (eV per formula unit): -6.1
Offset from the most stable computed form (meV/atom): 0

---

(6)
PmSb2Se4 after structural relaxation, computed with GGA-PBE.

abc: 6.9798 6.9798 13.5591
angles: 90.00 90.00 143.72
Last column: nearest neighbours and their distance in Å.
Fractional coordinates of all 14 atoms:
Pm (0.1207, 0.8793, 0.7500)  6 Se 2.92-3.11
Pm (0.8793, 0.1207, 0.2500)  6 Se 2.92-3.11
Sb (0.3740, 0.6260, 0.5595)  6 Se 2.79-3.05
Sb (0.3740, 0.6260, 0.9405)  6 Se 2.79-3.05
Sb (0.6260, 0.3740, 0.0595)  6 Se 2.79-3.05
Sb (0.6260, 0.3740, 0.4405)  6 Se 2.79-3.05
Se (0.0000, 0.0000, 0.0000)  4 Sb 2.86
Se (0.0000, 0.0000, 0.5000)  4 Sb 2.86
Se (0.2742, 0.7258, 0.1219)  3 Sb 2.79-3.05, 2 Pm 3.11
Se (0.2742, 0.7258, 0.3781)  3 Sb 2.79-3.05, 2 Pm 3.11
Se (0.4734, 0.5266, 0.7500)  2 Sb 2.90, 2 Pm 2.92
Se (0.5266, 0.4734, 0.2500)  2 Sb 2.90, 2 Pm 2.92
Se (0.7258, 0.2742, 0.6219)  3 Sb 2.79-3.05, 2 Pm 3.11
Se (0.7258, 0.2742, 0.8781)  3 Sb 2.79-3.05, 2 Pm 3.11

Results
Crystal system: orthorhombic
N(E_F) (states/eV per atom): 0.2657
Calculated total energy (eV/cell): -63.67
Uncorrected formation energy (eV per formula unit): -4.9

---

(7)
Pm2SbSe after structural relaxation, computed with GGA-PBE.

abc: 7.9735 7.9735 7.9735
angles: 30.96 30.96 30.96
Last column: nearest neighbours and their distance in Å.
Fractional coordinates of all 4 atoms:
Pm (0.0000, 0.0000, 0.0000)  3 Sb 3.10, 3 Se 3.14
Pm (0.1684, 0.1684, 0.1684)  3 Sb 3.08, 3 Se 3.09
Sb (0.5834, 0.5834, 0.5834)  6 Pm 3.08-3.10
Se (0.7525, 0.7525, 0.7525)  6 Pm 3.09-3.14

Results
Crystal system: trigonal
N(E_F) (states/eV per atom): 0.8302
Calculated total energy (eV/cell): -22.76
Uncorrected formation energy (eV per formula unit): -5.7
Offset from the most stable computed form (meV/atom): 103

---

(8)
Pm3Sb3Se after structural relaxation, computed with GGA-PBE.

abc: 6.0299 6.0299 6.0299
angles: 101.09 101.09 101.09
Last column: nearest neighbours and their distance in Å.
Fractional coordinates of all 7 atoms:
Pm (0.1732, 0.1732, 0.6535)  2 Se 2.98-3.05, 5 Sb 3.23-3.34
Pm (0.1732, 0.6535, 0.1732)  2 Se 2.98-3.05, 5 Sb 3.23-3.34
Pm (0.6535, 0.1732, 0.1732)  2 Se 2.98-3.05, 5 Sb 3.23-3.34
Sb (0.3758, 0.7242, 0.7242)  5 Pm 3.23-3.34, 2 Sb 3.24
Sb (0.7242, 0.3758, 0.7242)  5 Pm 3.23-3.34, 2 Sb 3.24
Sb (0.7242, 0.7242, 0.3758)  5 Pm 3.23-3.34, 2 Sb 3.24
Se (0.1505, 0.1505, 0.1505)  6 Pm 2.98-3.05

Results
Crystal system: trigonal
N(E_F) (states/eV per atom): 0.8760
Calculated total energy (eV/cell): -37.18
Uncorrected formation energy (eV per formula unit): -7.1

---

(9)
Pm3Sb2Se after structural relaxation, computed with GGA-PBE.

abc: 7.6108 7.6108 7.6108
angles: 146.34 131.56 60.28
Last column: nearest neighbours and their distance in Å.
Fractional coordinates of all 6 atoms:
Pm (0.0000, 0.0000, 0.0000)  2 Se 3.12, 4 Sb 3.13
Pm (0.3387, 0.3387, 0.0000)  2 Se 3.06, 4 Sb 3.12-3.14
Pm (0.6613, 0.6613, 0.0000)  2 Se 3.06, 4 Sb 3.12-3.14
Sb (0.1688, 0.6688, 0.5000)  6 Pm 3.12-3.14
Sb (0.8312, 0.3312, 0.5000)  6 Pm 3.12-3.14
Se (0.5000, 0.0000, 0.5000)  6 Pm 3.06-3.12

Results
Crystal system: orthorhombic
N(E_F) (states/eV per atom): 0.2695
Calculated total energy (eV/cell): -34.48
Uncorrected formation energy (eV per formula unit): -8.5

---

(10)
Pm3SbSe after structural relaxation, computed with GGA-PBE.

abc: 5.4706 5.4706 5.4706
angles: 90.00 90.00 90.00
Last column: nearest neighbours and their distance in Å.
Fractional coordinates of all 5 atoms:
Pm (0.0000, 0.0000, 0.5000)  2 Se 2.74
Pm (0.0000, 0.5000, 0.0000)  2 Se 2.74
Pm (0.5000, 0.0000, 0.0000)  2 Se 2.74
Sb (0.5000, 0.5000, 0.5000)  12 Pm 3.87
Se (0.0000, 0.0000, 0.0000)  6 Pm 2.74

Results
Crystal system: cubic
N(E_F) (states/eV per atom): 1.2968
Calculated total energy (eV/cell): -25.28
Uncorrected formation energy (eV per formula unit): -3.4
Offset from the most stable computed form (meV/atom): 527

---

(11)
Pm2SbSe after structural relaxation, computed with GGA-PBE.

abc: 4.3606 4.3606 7.5113
angles: 106.81 106.81 59.96
Last column: nearest neighbours and their distance in Å.
Fractional coordinates of all 4 atoms:
Pm (0.2460, 0.2460, 0.2391)  3 Se 3.03, 3 Sb 3.12
Pm (0.7540, 0.7540, 0.7609)  3 Se 3.03, 3 Sb 3.12
Sb (0.0000, 0.0000, 0.5000)  6 Pm 3.12
Se (0.5000, 0.5000, 0.0000)  6 Pm 3.03

Results
Crystal system: monoclinic
N(E_F) (states/eV per atom): 0.4609
Calculated total energy (eV/cell): -23.17
Uncorrected formation energy (eV per formula unit): -6.1
Offset from the most stable computed form (meV/atom): 0

---

(12)
Pm3SbSe after structural relaxation, computed with GGA-PBE.

abc: 9.6615 9.6615 7.2957
angles: 99.82 99.82 77.72
Last column: nearest neighbours and their distance in Å.
Fractional coordinates of all 20 atoms:
Pm (0.0388, 0.1621, 0.4277)  1 Se 2.93, 1 Sb 3.12
Pm (0.1360, 0.6531, 0.0358)  2 Se 2.89-2.91, 2 Sb 3.12-3.13
Pm (0.1621, 0.0388, 0.9277)  1 Se 2.93, 1 Sb 3.12
Pm (0.3005, 0.4624, 0.5278)  3 Se 2.90-2.98, 1 Sb 3.13
Pm (0.3469, 0.8640, 0.4642)  2 Se 2.89-2.91, 2 Sb 3.12-3.13
Pm (0.4624, 0.3005, 0.0278)  3 Se 2.90-2.98, 1 Sb 3.13
Pm (0.5376, 0.6995, 0.9722)  3 Se 2.90-2.98, 1 Sb 3.13
Pm (0.6531, 0.1360, 0.5358)  2 Se 2.89-2.91, 2 Sb 3.12-3.13
Pm (0.6995, 0.5376, 0.4722)  3 Se 2.90-2.98, 1 Sb 3.13
Pm (0.8379, 0.9612, 0.0723)  1 Se 2.93, 1 Sb 3.12
Pm (0.8640, 0.3469, 0.9642)  2 Se 2.89-2.91, 2 Sb 3.12-3.13
Pm (0.9612, 0.8379, 0.5723)  1 Se 2.93, 1 Sb 3.12
Sb (0.1395, 0.3528, 0.7957)  6 Pm 3.12-3.29
Sb (0.3528, 0.1395, 0.2957)  6 Pm 3.12-3.29
Sb (0.6472, 0.8605, 0.7043)  6 Pm 3.12-3.29
Sb (0.8605, 0.6472, 0.2043)  6 Pm 3.12-3.29
Se (0.2547, 0.7453, 0.7500)  6 Pm 2.89-2.93
Se (0.4186, 0.5814, 0.2500)  6 Pm 2.90-2.98
Se (0.5814, 0.4186, 0.7500)  6 Pm 2.90-2.98
Se (0.7453, 0.2547, 0.2500)  6 Pm 2.89-2.93

Results
Crystal system: monoclinic
N(E_F) (states/eV per atom): 0.7703
Calculated total energy (eV/cell): -108.67
Uncorrected formation energy (eV per formula unit): -5.3
Offset from the most stable computed form (meV/atom): 149

---

Copy entry 4 word for word.
PmSbSe3 after structural relaxation, computed with GGA-PBE.

abc: 5.6607 7.0616 7.1410
angles: 90.00 106.55 90.00
Last column: nearest neighbours and their distance in Å.
Fractional coordinates of all 10 atoms:
Pm (0.1807, 0.2500, 0.3082)  7 Se 2.96-3.28
Pm (0.8193, 0.7500, 0.6918)  7 Se 2.96-3.28
Sb (0.4122, 0.2500, 0.8973)  3 Se 2.60
Sb (0.5878, 0.7500, 0.1027)  3 Se 2.60
Se (0.1284, 0.7500, 0.1032)  1 Sb 2.60
Se (0.2968, 0.5287, 0.6500)  1 Sb 2.60
Se (0.2968, 0.9713, 0.6500)  1 Sb 2.60
Se (0.7032, 0.0287, 0.3500)  1 Sb 2.60
Se (0.7032, 0.4713, 0.3500)  1 Sb 2.60
Se (0.8716, 0.2500, 0.8968)  1 Sb 2.60

Results
Crystal system: monoclinic
Calculated total energy (eV/cell): -48.06
Uncorrected formation energy (eV per formula unit): -4.7
Offset from the most stable computed form (meV/atom): 88